CrSbI2N | SCAN | single point on PBEsol structure

Energy above the most stable polymorph in this dataset, kJ/mol of formula units: 381

Cell and atoms, written as POSCAR:
```
CrSbI2N
1.0
-2.1983 -4.5711 0.2980
4.8712 -2.3637 -0.3239
0.4301 0.1455 5.4051
I Sb N Cr
2 1 1 1
direct
0.0000 0.0000 0.5000 I
0.0000 0.5000 0.0000 I
0.5000 0.0000 0.0000 Sb
0.5000 0.5000 0.5000 N
0.0000 0.0000 0.0000 Cr
```

=====

CrSbIN2 | SCAN | single point on PBEsol structure

Cell and atoms, written as POSCAR:
```
CrSbIN2
1.0
-3.7912 1.1889 0.5033
-0.6519 -3.1105 2.4372
1.8381 3.6706 5.1763
I Sb N Cr
1 1 2 1
direct
0.0000 0.0000 0.5000 I
0.0000 0.0000 0.0000 Sb
0.0000 0.5000 0.0000 N
0.5000 0.0000 0.0000 N
0.5000 0.5000 0.5000 Cr
```

=====

CrSbI2N | SCAN | single point on PBEsol structure

Energy above the most stable polymorph in this dataset, kJ/mol of formula units: 0

Cell and atoms, written as POSCAR:
```
CrSbI2N
1.0
-0.2214 -3.4592 0.9801
5.5134 -0.0848 0.9464
-0.8858 1.5583 5.2997
I Sb N Cr
2 1 1 1
direct
0.0000 0.0000 0.5000 I
0.0000 0.5000 0.0000 I
0.5000 0.5000 0.5000 Sb
0.5000 0.0000 0.0000 N
0.0000 0.0000 0.0000 Cr
```

=====

CrSeI2N | SCAN | single point on PBEsol structure

Cell and atoms, written as POSCAR:
```
CrSeI2N
1.0
3.5722 0.0000 0.0000
0.0000 5.4444 0.0000
0.0000 0.0000 5.4444
I Cr Se N
2 1 1 1
direct
0.0000 0.0000 0.5000 I
0.0000 0.5000 0.0000 I
0.0000 0.0000 0.0000 Cr
0.5000 0.5000 0.5000 Se
0.5000 0.0000 0.0000 N
```

=====

CrTeIN2 | SCAN | single point on PBEsol structure

Cell and atoms, written as POSCAR:
```
CrTeIN2
1.0
-1.7290 -2.7161 2.3533
1.2485 -2.9028 -2.4330
5.8396 -0.5512 3.6543
I Cr Te N
1 1 1 2
direct
0.0000 0.0000 0.5000 I
0.5000 0.5000 0.5000 Cr
0.0000 0.0000 0.0000 Te
0.0000 0.5000 0.0000 N
0.5000 0.0000 0.0000 N
```

=====

NaTiCrI2 | SCAN | single point on PBEsol structure

Cell and atoms, written as POSCAR:
```
NaTiCrI2
1.0
-3.7723 2.1476 3.2350
-0.4472 -4.8358 2.6889
3.9564 1.6065 3.5471
I Cr Na Ti
2 1 1 1
direct
0.0000 0.0000 0.5000 I
0.0000 0.5000 0.0000 I
0.5000 0.5000 0.5000 Cr
0.0000 0.0000 0.0000 Na
0.5000 0.0000 0.0000 Ti
```

=====

| no. | spin magnetization (Bohr magnetons per cell) | E_form (uncorrected) (eV/atom) |
| --- | --- | --- |
| 1 | 5.96 | 1.009 |
| 2 | 5.98 | 1.171 |
| 3 | 2.16 | 0.219 |
| 4 | 1.86 | 0.364 |
| 5 | 4.96 | 1.305 |
| 6 | 8.92 | 0.744 |